# Y2TlTe | Alexandria via LeMat-Bulk | GGA-PBE | optimized geometry
data_Y2TlTe
_chemical_formula_sum 'Y2 Tl1 Te1'
_symmetry_space_group_name_H-M 'P 1'
_symmetry_Int_Tables_number 1
_symmetry_space_group_name_Hall 'P 1'
_cell_length_a 5.019
_cell_length_b 6.213
_cell_length_c 6.213
_cell_angle_alpha 36.24
_cell_angle_beta 90.00
_cell_angle_gamma 90.00
loop_
_atom_site_label
_atom_site_type_symbol
_atom_site_fract_x
_atom_site_fract_y
_atom_site_fract_z
Y1 Y 0.000 0.000 0.000
Y2 Y 0.500 0.255 0.255
Tl1 Tl 0.500 0.512 0.512
Te1 Te 0.000 0.734 0.734
# * total magnetic moment: 0.000 μB per atom
# * ΔE_f (raw): -0.75 eV per atom
# * distance to the lowest polymorph of the same formula: 0.136 eV/atom

---

# YTl2Te | Alexandria via LeMat-Bulk | GGA-PBE | optimized geometry
data_YTl2Te
_chemical_formula_sum 'Y1 Tl2 Te1'
_symmetry_space_group_name_H-M 'P 1'
_symmetry_Int_Tables_number 1
_symmetry_space_group_name_Hall 'P 1'
_cell_length_a 5.182
_cell_length_b 3.951
_cell_length_c 5.759
_cell_angle_alpha 90.00
_cell_angle_beta 99.47
_cell_angle_gamma 90.00
loop_
_atom_site_label
_atom_site_type_symbol
_atom_site_fract_x
_atom_site_fract_y
_atom_site_fract_z
Y1 Y 0.000 0.000 0.000
Tl1 Tl 0.000 0.500 0.500
Tl2 Tl 0.500 0.000 0.500
Te1 Te 0.500 0.500 0.000
# * total magnetic moment: 0.000 μB per atom
# * ΔE_f (raw): -0.43 eV per atom
# * distance to the lowest polymorph of the same formula: 0.104 eV/atom

---

# Y4Tl2Te | Alexandria via LeMat-Bulk | GGA-PBE | optimized geometry
data_Y4Tl2Te
_chemical_formula_sum 'Y8 Tl4 Te2'
_symmetry_space_group_name_H-M 'P 1'
_symmetry_Int_Tables_number 1
_symmetry_space_group_name_Hall 'P 1'
_cell_length_a 6.619
_cell_length_b 6.634
_cell_length_c 10.074
_cell_angle_alpha 90.00
_cell_angle_beta 106.05
_cell_angle_gamma 90.00
loop_
_atom_site_label
_atom_site_type_symbol
_atom_site_fract_x
_atom_site_fract_y
_atom_site_fract_z
Y1 Y 0.019 0.001 0.269
Y2 Y 0.019 0.499 0.269
Y3 Y 0.401 0.250 0.552
Y4 Y 0.471 0.250 0.162
Y5 Y 0.529 0.750 0.838
Y6 Y 0.599 0.750 0.448
Y7 Y 0.981 0.501 0.731
Y8 Y 0.981 0.999 0.731
Tl1 Tl 0.098 0.750 0.012
Tl2 Tl 0.194 0.750 0.543
Tl3 Tl 0.806 0.250 0.457
Tl4 Tl 0.902 0.250 0.988
Te1 Te 0.390 0.250 0.849
Te2 Te 0.610 0.750 0.151
# * total magnetic moment: 0.000 μB per atom
# * ΔE_f (raw): -0.49 eV per atom

---

# Y4TlTe2 | Alexandria via LeMat-Bulk | GGA-PBE | optimized geometry
data_Y4TlTe2
_chemical_formula_sum 'Y8 Tl2 Te4'
_symmetry_space_group_name_H-M 'P 1'
_symmetry_Int_Tables_number 1
_symmetry_space_group_name_Hall 'P 1'
_cell_length_a 7.291
_cell_length_b 7.291
_cell_length_c 14.589
_cell_angle_alpha 90.00
_cell_angle_beta 90.00
_cell_angle_gamma 146.14
loop_
_atom_site_label
_atom_site_type_symbol
_atom_site_fract_x
_atom_site_fract_y
_atom_site_fract_z
Y1 Y 0.000 0.000 0.000
Y2 Y 0.000 0.000 0.500
Y3 Y 0.279 0.721 0.632
Y4 Y 0.279 0.721 0.868
Y5 Y 0.439 0.561 0.250
Y6 Y 0.561 0.439 0.750
Y7 Y 0.721 0.279 0.132
Y8 Y 0.721 0.279 0.368
Tl1 Tl 0.102 0.898 0.250
Tl2 Tl 0.898 0.102 0.750
Te1 Te 0.359 0.641 0.060
Te2 Te 0.359 0.641 0.440
Te3 Te 0.641 0.359 0.560
Te4 Te 0.641 0.359 0.940
# * total magnetic moment: 0.000 μB per atom
# * ΔE_f (raw): -0.83 eV per atom
# * distance to the lowest polymorph of the same formula: 0.000 eV/atom